Record 1
First-principles (PBE-GGA) data for Bi3MoRu after structural relaxation, as listed in Alexandria via LeMat-Bulk.

Summary:
- energy of formation from the pure elements (kJ per mole of atoms) = 108.3
- total DFT energy (no corrections) (eV/atom) = -5.23
- density of states at the Fermi level (states/eV per cell) = 4.32
- total magnetic moment (μB per formula unit) = 4.179

Unit cell a=5.269 b=5.269 c=5.269 alpha=90.00 beta=90.00 gamma=90.00
Space group Pm-3m (No. 221)
Unique sites:
Bi: 0.000 0.000 0.500
Mo: 0.500 0.500 0.500
Ru: 0.000 0.000 0.000

***

Record 2
First-principles (PBE-GGA) data for Bi2Mo2Ru after structural relaxation, as listed in Alexandria via LeMat-Bulk.

Summary:
- energy of formation from the pure elements (kJ per mole of atoms) = 73.7
- total DFT energy (no corrections) (eV/atom) = -6.98
- density of states at the Fermi level (states/eV per cell) = 14.86
- total magnetic moment (μB per formula unit) = 0.000

Unit cell a=6.741 b=6.741 c=4.575 alpha=90.00 beta=90.00 gamma=90.00
Space group P4/mbm (No. 127)
Unique sites:
Bi: 0.180 0.320 0.000
Mo: 0.129 0.629 0.500
Ru: 0.000 0.000 0.500

***

Record 3
First-principles (PBE-GGA) data for Bi2Mo2Ru after structural relaxation, as listed in Alexandria via LeMat-Bulk.

Summary:
- energy of formation from the pure elements (kJ per mole of atoms) = 114.1
- total DFT energy (no corrections) (eV/atom) = -6.56
- density of states at the Fermi level (states/eV per cell) = 13.90
- total magnetic moment (μB per formula unit) = 2.387

Unit cell a=5.415 b=5.415 c=7.785 alpha=90.00 beta=90.00 gamma=90.00
Space group I4/mmm (No. 139)
Unique sites:
Bi: 0.000 0.500 0.250
Mo: 0.000 0.000 0.140
Ru: 0.000 0.000 0.500

***

Record 4
First-principles (PBE-GGA) data for Ta2BiMoRu after structural relaxation, as listed in Alexandria via LeMat-Bulk.

Summary:
- energy of formation from the pure elements (kJ per mole of atoms) = 105.4
- total DFT energy (no corrections) (eV/atom) = -8.45
- density of states at the Fermi level (states/eV per cell) = 5.38
- total magnetic moment (μB per formula unit) = 0.702

Unit cell a=4.842 b=4.842 c=4.808 alpha=90.00 beta=90.00 gamma=90.00
Space group P4/mmm (No. 123)
Unique sites:
Ta: 0.000 0.500 0.000
Bi: 0.000 0.000 0.500
Mo: 0.500 0.500 0.500
Ru: 0.500 0.500 0.000

***

Record 5
First-principles (PBE-GGA) data for VBi2MoRu after structural relaxation, as listed in Alexandria via LeMat-Bulk.

Summary:
- energy of formation from the pure elements (kJ per mole of atoms) = 145.4
- total DFT energy (no corrections) (eV/atom) = -5.89
- density of states at the Fermi level (states/eV per cell) = 7.21
- total magnetic moment (μB per formula unit) = 1.921

Unit cell a=5.230 b=5.230 c=4.708 alpha=90.00 beta=90.00 gamma=90.00
Space group P4/mmm (No. 123)
Unique sites:
V: 0.000 0.000 0.000
Bi: 0.000 0.500 0.500
Mo: 0.500 0.500 0.000
Ru: 0.500 0.500 0.500

***

Record 6
First-principles (PBE-GGA) data for VBiMo2Ru after structural relaxation, as listed in Alexandria via LeMat-Bulk.

Summary:
- energy of formation from the pure elements (kJ per mole of atoms) = 149.7
- total DFT energy (no corrections) (eV/atom) = -7.24
- density of states at the Fermi level (states/eV per cell) = 7.01
- total magnetic moment (μB per formula unit) = 1.067

Unit cell a=4.471 b=4.471 c=5.017 alpha=90.00 beta=90.00 gamma=90.00
Space group P4/mmm (No. 123)
Unique sites:
V: 0.000 0.000 0.000
Bi: 0.000 0.000 0.500
Mo: 0.000 0.500 0.000
Ru: 0.500 0.500 0.500

***

Record 7
First-principles (PBE-GGA) data for BiMoS2 after structural relaxation, as listed in Alexandria via LeMat-Bulk.

Summary:
- total DFT energy (no corrections) (eV/atom) = -6.11
- density of states at the Fermi level (states/eV per cell) = 8.78
- total magnetic moment (μB per formula unit) = 0.000

Unit cell a=3.3439 b=3.3439 c=26.6609 alpha=90.00 beta=90.00 gamma=120.00
Space group R-3m (No. 166, hexagonal axes)
Unique sites:
Bi: 0.0000 0.0000 0.0000
Mo: 0.0000 0.0000 0.5000
S: 0.0000 0.0000 0.1098

***

Record 8
First-principles (PBE-GGA) data for Bi3MoS after structural relaxation, as listed in Alexandria via LeMat-Bulk.

Summary:
- total DFT energy (no corrections) (eV/atom) = -4.32
- density of states at the Fermi level (states/eV per cell) = 2.12
- total magnetic moment (μB per formula unit) = 3.077

Unit cell a=5.319 b=5.319 c=5.319 alpha=90.00 beta=90.00 gamma=90.00
Space group Pm-3m (No. 221)
Unique sites:
Bi: 0.000 0.000 0.500
Mo: 0.500 0.500 0.500
S: 0.000 0.000 0.000